# 1
La2Dy4Sc: relaxed, PBE.

The value obtained for the distance to the lowest polymorph of the same formula is 352 meV per atom. As for the density of states at the Fermi level: 15.371 states/eV per cell.

The space group is I4/mmm (No. 139) and the conventional cell measures 5.3973, 5.3973 and 17.4628 Å, with angles of 90.00, 90.00 and 90.00 degrees. Symmetry generates all atoms from La at (0.0000, 0.0000, 0.1283), Dy at (0.0000, 0.0000, 0.3267), Dy at (0.0000, 0.5000, 0.0000) and Sc at (0.0000, 0.0000, 0.5000).

# 2
LaDy6Sc4: relaxed, PBE.

The value obtained for the distance to the lowest polymorph of the same formula is 179 meV per atom. As for the density of states at the Fermi level: 20.130 states/eV per cell.

The space group is P-6m2 (No. 187) and the conventional cell measures 8.7391, 8.7391 and 5.2542 Å, with angles of 90.00, 90.00 and 120.00 degrees. Symmetry generates all atoms from La at (0.0000, 0.0000, 0.0000), Dy at (0.2017, 0.4035, 0.5000), Dy at (0.5335, 0.0670, 0.0000), Sc at (0.3333, 0.6667, 0.0000) and Sc at (0.4275, 0.2138, 0.5000).

In meV per atom, the E_form values for the records above are, in order, 532 292.